BiMoS2 | PBE-GGA | relaxed

## Properties
For the density of states at the Fermi level, the calculation gives 2.760 states/eV per cell. The space-group type is No. 166. The formation energy from raw total energies is 1.9 eV/f.u. As for the crystal system: trigonal.

Cell: 9.0541 9.0541 9.0541 Å, 21.70 21.70 21.70°
Last column: nearest neighbours and their distance in Å.
Atoms (fractional coordinates):
Bi  0.0000  0.0000  0.0000  6 S 2.94
Mo  0.5000  0.5000  0.5000  2 S 2.24
S  0.4157  0.4157  0.4157  1 Mo 2.24
S  0.5843  0.5843  0.5843  1 Mo 2.24

=====

Bi3MoS | PBE-GGA | relaxed

## Properties
For the density of states at the Fermi level, the calculation gives 3.008 states/eV per cell. The space-group type is No. 221. The formation energy from raw total energies is 2.8 eV/f.u. As for the crystal system: cubic. As for the excess energy over the best structure of this formula in the dataset: 0.00 eV/f.u.

Cell: 5.3104 5.3104 5.3104 Å, 90.00 90.00 90.00°
Last column: nearest neighbours and their distance in Å.
Atoms (fractional coordinates):
Bi  0.0000  0.0000  0.5000  2 Mo 2.66
Bi  0.0000  0.5000  0.0000  2 Mo 2.66
Bi  0.5000  0.0000  0.0000  2 Mo 2.66
Mo  0.0000  0.0000  0.0000  6 Bi 2.66
S  0.5000  0.5000  0.5000  12 Bi 3.76